1.
This record from Alexandria via LeMat-Bulk describes an optimized crystal structure of TaMn2Pt. The functional is PBE.

Values from the calculation:
**SG**: No. 225
**Excess energy over the best structure of this formula in the dataset**: 56 meV per atom

Lattice parameters (Å, degrees): 4.350 4.350 4.350 60.00 60.00 60.00
Each line ends with the local moment (μB).
Fractional positions:
Mn 0.250 0.250 0.250  2.74
Mn 0.750 0.750 0.750  2.74
Pt 0.500 0.500 0.500  0.31
Ta 0.000 0.000 0.000  -0.76

2.
This record from Alexandria via LeMat-Bulk describes an optimized crystal structure of Ta2MnPt2. The functional is PBE.

Values from the calculation:
**SG**: No. 127

Lattice parameters (Å, degrees): 6.917 6.917 3.501 90.00 90.00 90.00
Fractional positions:
Mn 0.000 0.000 0.000
Mn 0.500 0.500 0.000
Pt 0.366 0.866 0.000
Pt 0.866 0.634 0.000
Pt 0.634 0.134 0.000
Pt 0.134 0.366 0.000
Ta 0.174 0.674 0.500
Ta 0.674 0.826 0.500
Ta 0.826 0.326 0.500
Ta 0.326 0.174 0.500

3.
This record from Alexandria via LeMat-Bulk describes an optimized crystal structure of TaMn3Pt. The functional is PBE.

Values from the calculation:
**SG**: No. 221
**Excess energy over the best structure of this formula in the dataset**: 47 meV per atom

Lattice parameters (Å, degrees): 4.407 4.407 4.407 90.00 90.00 90.00
Each line ends with the local moment (μB).
Fractional positions:
Mn 0.000 0.500 0.000  -0.26
Mn 0.000 0.000 0.500  -0.10
Mn 0.500 0.000 0.000  -0.23
Pt 0.500 0.500 0.500  0.17
Ta 0.000 0.000 0.000  0.06

4.
This record from Alexandria via LeMat-Bulk describes an optimized crystal structure of TaMn2Pt5. The functional is PBE.

Values from the calculation:
**SG**: No. 55

Lattice parameters (Å, degrees): 4.604 5.521 10.088 90.00 90.00 90.00
Each line ends with the local moment (μB).
Fractional positions:
Ta 0.000 0.000 0.500  -0.14
Ta 0.000 0.500 0.000  -0.14
Mn 0.500 0.356 0.364  3.83
Mn 0.500 0.644 0.636  3.83
Mn 0.500 0.144 0.864  3.83
Mn 0.500 0.856 0.136  3.83
Pt 0.500 0.337 0.105  0.09
Pt 0.500 0.663 0.895  0.09
Pt 0.500 0.837 0.395  0.09
Pt 0.500 0.163 0.605  0.09
Pt 0.000 0.799 0.741  0.13
Pt 0.000 0.201 0.259  0.13
Pt 0.000 0.299 0.759  0.13
Pt 0.000 0.701 0.241  0.13
Pt 0.000 0.500 0.500  0.14
Pt 0.000 0.000 0.000  0.14

5.
This record from Alexandria via LeMat-Bulk describes an optimized crystal structure of TaMn2Pt. The functional is PBE.

Values from the calculation:
**SG**: No. 123
**Excess energy over the best structure of this formula in the dataset**: 101 meV per atom

Lattice parameters (Å, degrees): 3.193 3.193 5.842 90.00 90.00 90.00
Each line ends with the local moment (μB).
Fractional positions:
Mn 0.000 0.000 0.996  2.83
Mn 0.000 0.000 0.504  2.83
Pt 0.500 0.500 0.250  0.31
Ta 0.500 0.500 0.750  -0.66

6.
This record from Alexandria via LeMat-Bulk describes an optimized crystal structure of TaMn3Pt. The functional is PBE.

Values from the calculation:
**SG**: No. 221
**Excess energy over the best structure of this formula in the dataset**: 0 meV per atom

Lattice parameters (Å, degrees): 4.437 4.437 4.437 90.00 90.00 90.00
Fractional positions:
Mn 0.000 0.500 0.000
Mn 0.000 0.000 0.500
Mn 0.500 0.000 0.000
Pt 0.000 0.000 0.000
Ta 0.500 0.500 0.500

7.
This record from Alexandria via LeMat-Bulk describes an optimized crystal structure of TaMn2Pt6. The functional is PBE.

Values from the calculation:
**SG**: No. 15

Lattice parameters (Å, degrees): 5.809 7.915 7.915 74.53 64.29 64.29
Each line ends with the local moment (μB).
Fractional positions:
Ta 0.250 0.367 0.633  -0.04
Ta 0.750 0.633 0.367  -0.04
Mn 0.977 0.798 0.850  3.76
Mn 0.523 0.150 0.202  3.76
Mn 0.023 0.202 0.150  3.76
Mn 0.477 0.850 0.798  3.76
Pt 0.511 0.527 0.717  0.03
Pt 0.989 0.283 0.473  0.03
Pt 0.489 0.473 0.283  0.03
Pt 0.011 0.717 0.527  0.03
Pt 0.692 0.085 0.478  0.12
Pt 0.808 0.522 0.915  0.12
Pt 0.308 0.915 0.522  0.12
Pt 0.192 0.478 0.085  0.12
Pt 0.011 0.861 0.152  0.12
Pt 0.489 0.848 0.139  0.12
Pt 0.989 0.139 0.848  0.12
Pt 0.511 0.152 0.861  0.12

8.
This record from Alexandria via LeMat-Bulk describes an optimized crystal structure of Ta2TiMnPt. The functional is PBE.

Values from the calculation:
**SG**: No. 123

Lattice parameters (Å, degrees): 4.571 4.571 4.322 90.00 90.00 90.00
Fractional positions:
Mn 0.000 0.000 0.000
Ti 0.000 0.000 0.500
Pt 0.500 0.500 0.500
Ta 0.000 0.500 0.000
Ta 0.500 0.000 0.000

9.
This record from Alexandria via LeMat-Bulk describes an optimized crystal structure of TaMnZnPt. The functional is PBE.

Values from the calculation:
**SG**: No. 216

Lattice parameters (Å, degrees): 4.353 4.353 4.353 60.00 60.00 60.00
Fractional positions:
Zn 0.000 0.000 0.000
Mn 0.250 0.250 0.250
Pt 0.750 0.750 0.750
Ta 0.500 0.500 0.500

10.
This record from Alexandria via LeMat-Bulk describes an optimized crystal structure of TbMn2Pt9. The functional is PBE.

Values from the calculation:
**SG**: No. 123

Lattice parameters (Å, degrees): 4.009 4.009 11.956 90.00 90.00 90.00
Each line ends with the local moment (μB).
Fractional positions:
Tb 0.000 0.000 0.000  -0.02
Mn 0.000 0.000 0.340  3.79
Mn 0.000 0.000 0.660  3.79
Pt 0.500 0.500 0.000  -0.02
Pt 0.500 0.500 0.339  0.07
Pt 0.500 0.500 0.661  0.07
Pt 0.500 0.000 0.180  0.04
Pt 0.500 0.000 0.500  0.13
Pt 0.500 0.000 0.820  0.04
Pt 0.000 0.500 0.180  0.04
Pt 0.000 0.500 0.500  0.13
Pt 0.000 0.500 0.820  0.04

11.
This record from Alexandria via LeMat-Bulk describes an optimized crystal structure of TbMnPt4. The functional is PBE.

Values from the calculation:
**SG**: No. 51

Lattice parameters (Å, degrees): 4.005 6.900 7.672 90.00 90.00 90.00
Each line ends with the local moment (μB).
Fractional positions:
Tb 0.000 0.652 0.750  0.04
Tb 0.000 0.348 0.250  0.04
Mn 0.000 0.234 0.750  3.62
Mn 0.000 0.766 0.250  3.62
Pt 0.000 0.000 0.500  0.13
Pt 0.000 0.000 0.000  0.13
Pt 0.500 0.967 0.750  0.10
Pt 0.500 0.033 0.250  0.10
Pt 0.500 0.686 0.045  0.17
Pt 0.500 0.314 0.955  0.17
Pt 0.500 0.686 0.455  0.17
Pt 0.500 0.314 0.545  0.17

12.
This record from Alexandria via LeMat-Bulk describes an optimized crystal structure of MnTc2Pt. The functional is PBE.

Values from the calculation:
**SG**: No. 47
**Excess energy over the best structure of this formula in the dataset**: 19 meV per atom

Lattice parameters (Å, degrees): 2.696 3.793 5.457 90.00 90.00 90.00
Each line ends with the local moment (μB).
Fractional positions:
Mn 0.500 0.500 0.250  0.50
Pt 0.500 0.500 0.750  -0.01
Tc 0.000 0.000 0.029  -0.09
Tc 0.000 0.000 0.471  -0.09

13.
This record from Alexandria via LeMat-Bulk describes an optimized crystal structure of MnTcPt2. The functional is PBE.

Values from the calculation:
**SG**: No. 160
**Excess energy over the best structure of this formula in the dataset**: 147 meV per atom

Lattice parameters (Å, degrees): 9.071 9.071 9.071 17.43 17.43 17.43
Each line ends with the local moment (μB).
Fractional positions:
Mn 0.752 0.752 0.752  2.52
Pt 0.006 0.006 0.006  0.15
Pt 0.247 0.247 0.247  -0.10
Tc 0.495 0.495 0.495  -0.57

14.
This record from Alexandria via LeMat-Bulk describes an optimized crystal structure of Mn2TcPt. The functional is PBE.

Values from the calculation:
**SG**: No. 122
**Excess energy over the best structure of this formula in the dataset**: 558 meV per atom

Lattice parameters (Å, degrees): 6.740 6.740 5.478 52.04 52.04 90.00
Each line ends with the local moment (μB).
Fractional positions:
Mn 0.612 0.125 0.250  2.89
Mn 0.138 0.625 0.250  2.90
Mn 0.375 0.388 0.750  2.89
Mn 0.875 0.862 0.750  2.90
Tc 0.500 0.500 0.000  -1.01
Tc 0.250 0.750 0.500  -1.00
Pt 0.000 0.000 0.000  0.07
Pt 0.750 0.250 0.500  0.07

15.
This record from Alexandria via LeMat-Bulk describes an optimized crystal structure of MnTc2Pt. The functional is PBE.

Values from the calculation:
**SG**: No. 122
**Excess energy over the best structure of this formula in the dataset**: 459 meV per atom

Lattice parameters (Å, degrees): 3.686 3.686 9.686 79.03 79.03 90.00
Each line ends with the local moment (μB).
Fractional positions:
Mn 0.500 0.500 0.000  3.38
Mn 0.250 0.750 0.500  3.39
Tc 0.592 0.125 0.250  -0.04
Tc 0.158 0.625 0.250  -0.04
Tc 0.375 0.408 0.750  -0.02
Tc 0.875 0.842 0.750  -0.02
Pt 0.000 0.000 0.000  0.07
Pt 0.750 0.250 0.500  0.06

16.
This record from Alexandria via LeMat-Bulk describes an optimized crystal structure of MnTcPt2. The functional is PBE.

Values from the calculation:
**SG**: No. 225
**Excess energy over the best structure of this formula in the dataset**: 592 meV per atom

Lattice parameters (Å, degrees): 4.358 4.358 4.358 60.00 60.00 60.00
Each line ends with the local moment (μB).
Fractional positions:
Mn 0.000 0.000 0.000  0.04
Tc 0.500 0.500 0.500  0.35
Pt 0.250 0.250 0.250  0.07
Pt 0.750 0.750 0.750  0.07

17.
This record from Alexandria via LeMat-Bulk describes an optimized crystal structure of MnTcPt2. The functional is PBE.

Values from the calculation:
**SG**: No. 65
**Excess energy over the best structure of this formula in the dataset**: 16 meV per atom

Lattice parameters (Å, degrees): 4.799 4.799 2.743 90.00 90.00 110.48
Each line ends with the local moment (μB).
Fractional positions:
Mn 0.000 0.500 0.500  3.46
Pt 0.000 0.000 0.000  0.07
Pt 0.500 0.500 0.000  0.07
Tc 0.500 0.000 0.500  -0.31

18.
This record from Alexandria via LeMat-Bulk describes an optimized crystal structure of MnTcPt. The functional is PBE.

Values from the calculation:
**SG**: No. 107
**Excess energy over the best structure of this formula in the dataset**: 19 meV per atom

Lattice parameters (Å, degrees): 6.016 6.016 2.705 77.01 77.01 25.99
Each line ends with the local moment (μB).
Fractional positions:
Mn 0.995 0.995 0.005  1.76
Pt 0.663 0.663 0.337  -0.06
Tc 0.343 0.343 0.657  -0.65

19.
This record from Alexandria via LeMat-Bulk describes an optimized crystal structure of Mn2TcPt. The functional is PBE.

Values from the calculation:
**SG**: No. 225
**Excess energy over the best structure of this formula in the dataset**: 333 meV per atom

Lattice parameters (Å, degrees): 4.201 4.201 4.201 60.00 60.00 60.00
Fractional positions:
Mn 0.250 0.250 0.250
Mn 0.750 0.750 0.750
Tc 0.000 0.000 0.000
Pt 0.500 0.500 0.500

20.
This record from Alexandria via LeMat-Bulk describes an optimized crystal structure of MnTcPt2. The functional is PBE.

Values from the calculation:
**SG**: No. 166
**Excess energy over the best structure of this formula in the dataset**: 128 meV per atom

Lattice parameters (Å, degrees): 9.029 9.029 9.029 17.73 17.73 17.73
Each line ends with the local moment (μB).
Fractional positions:
Mn 0.750 0.750 0.750  3.43
Pt 0.001 0.001 0.001  0.06
Pt 0.499 0.499 0.499  0.06
Tc 0.250 0.250 0.250  -0.45

What did we get for ΔH_f (0 K)? Answer: -0.24 -0.10 1.79 -0.40 -0.19 1.75 -0.33 0.50 -0.26 -0.55 -0.63 -0.07 -0.08 0.43 0.37 0.37 -0.21 -0.07 0.21 -0.10 eV per atom, in the order shown.
What did we get for spin magnetization? Answer: 4.92 0.00 0.33 8.40 5.25 0.00 8.30 0.00 0.00 8.29 4.36 0.32 2.04 5.03 3.57 0.56 3.37 1.06 0.00 3.17 μB/f.u., in the order shown.